# Er5Tm7

Er5Tm7 after structural relaxation (PBE, Alexandria via LeMat-Bulk). Values from VASP.

```
&SYSTEM
  ibrav = 0, nat = 12, ntyp = 2
/
ATOMIC_SPECIES
Er 167.26 Er.upf
Tm 168.93 Tm.upf
ATOMIC_POSITIONS crystal
Er 0.8335 0.8334 0.4996
Er 0.1665 0.1666 0.5004
Er 0.0000 0.0000 0.0000
Er 0.6945 0.3613 0.2498
Er 0.3055 0.6387 0.7502
Tm 0.9723 0.3053 0.7501
Tm 0.5000 0.5000 0.5000
Tm 0.0277 0.6947 0.2499
Tm 0.3335 0.3335 0.9995
Tm 0.6388 0.9722 0.7502
Tm 0.6665 0.6665 0.0005
Tm 0.3612 0.0278 0.2498
CELL_PARAMETERS angstrom
3.4581 0.0000 0.5454
1.3853 8.8302 2.4520
-0.0937 0.2021 11.8303
```

## Properties
Symmetry   C2/m (12)
Offset from the most stable computed form   0.0 meV/atom
Total DFT energy (no corrections)   -4.50 eV/atom
Energy relative to the elements   7 meV per atom